(1)
# VPt3N, optimized geometry, DFT PBE
# - energy (eV per cell) = -26.2
# - ΔE_f (raw) (eV per atom) = 1.870
# - relative energy among the computed polymorphs (eV/atom) = 1.379
# - density (g cm⁻³) = 10.8
# - total magnetization (μB per atom) = 0.490
data_VPt3N
_symmetry_space_group_name_H-M 'P m -3 m'
_symmetry_Int_Tables_number 221
_symmetry_space_group_name_Hall '-P 4 2 3'
_cell_length_a 4.6458
_cell_length_b 4.6458
_cell_length_c 4.6458
_cell_angle_alpha 90.00
_cell_angle_beta 90.00
_cell_angle_gamma 90.00
loop_
_atom_site_label
_atom_site_fract_x
_atom_site_fract_y
_atom_site_fract_z
V1 0.0000 0.0000 0.0000
Pt1 0.0000 0.0000 0.5000
N1 0.5000 0.5000 0.5000

(2)
# Ca6Si2Sb, optimized geometry, DFT PBE
# - energy (eV per cell) = -127.5
# - ΔE_f (raw) (eV per atom) = -0.544
# - density (g cm⁻³) = 2.6
# - total magnetization (μB per atom) = 0.000
data_Ca6Si2Sb
_symmetry_space_group_name_H-M 'I m m m'
_symmetry_Int_Tables_number 71
_symmetry_space_group_name_Hall '-I 2 2'
_cell_length_a 9.6731
_cell_length_b 10.1973
_cell_length_c 10.7545
_cell_angle_alpha 90.00
_cell_angle_beta 90.00
_cell_angle_gamma 90.00
loop_
_atom_site_label
_atom_site_fract_x
_atom_site_fract_y
_atom_site_fract_z
Ca1 0.0000 0.2169 0.2333
Ca2 0.2033 0.5000 0.1795
Ca3 0.2253 0.3116 0.5000
Si1 0.0000 0.3784 0.0000
Si2 0.0000 0.5000 0.3890
Sb1 0.0000 0.0000 0.0000
Sb2 0.0000 0.0000 0.5000

(3)
# Cd2InSe, optimized geometry, DFT PBE
# - energy (eV per cell) = -34.7
# - ΔE_f (raw) (eV per atom) = -0.157
# - relative energy among the computed polymorphs (eV/atom) = 0.026
# - density (g cm⁻³) = 6.9
# - total magnetization (μB per atom) = 0.000
data_Cd2InSe
_symmetry_space_group_name_H-M 'I -4 2 d'
_symmetry_Int_Tables_number 122
_symmetry_space_group_name_Hall 'I -4 2bw'
_cell_length_a 8.0306
_cell_length_b 8.0306
_cell_length_c 6.2673
_cell_angle_alpha 90.00
_cell_angle_beta 90.00
_cell_angle_gamma 90.00
loop_
_atom_site_label
_atom_site_fract_x
_atom_site_fract_y
_atom_site_fract_z
Cd1 0.2265 0.2500 0.1250
In1 0.0000 0.0000 0.5000
Se1 0.0000 0.0000 0.0000